[1]
Here is a geometry-optimized NaMg3 structure from the Alexandria database. Energies are from PBE.

- ρ: 1.6 g/cm³
- Formation enthalpy at 0 K: 0.07 eV per atom
- Final energy: -17.418 eV/cell

a = 3.2240 Å, b = 3.2240 Å, c = 33.3686 Å
α = 90.00°, β = 90.00°, γ = 120.00°
Space group R-3m (No. 166, hexagonal axes)
Inequivalent atoms, fractional coordinates:
Na  0.0000  0.0000  0.0000 (multiplicity 3)
Mg  0.0000  0.0000  0.2461 (multiplicity 6)
Mg  0.0000  0.0000  0.5000 (multiplicity 3)

***

[2]
Here is a geometry-optimized ScCoSb2 structure from the Alexandria database. Energies are from PBE.

- Uncorrected formation energy: -0.202 eV/atom
- ρ: 6.8 g/cm³
- Final energy: -89.961 eV/cell

a = 7.554 Å, b = 7.554 Å, c = 5.941 Å
α = 90.00°, β = 90.00°, γ = 90.00°
Space group I-42d (No. 122)
Inequivalent atoms, fractional coordinates:
Sc  0.000  0.000  0.000 (multiplicity 4)
Co  0.000  0.000  0.500 (multiplicity 4)
Sb  0.193  0.250  0.625 (multiplicity 8)

***

[3]
Here is a geometry-optimized Y3CrW structure from the Alexandria database. Energies are from PBE.

- Excess energy over the best structure of this formula in the dataset: 0.000 eV per atom
- ρ: 5.3 g/cm³
- Formation enthalpy at 0 K: 0.91 eV per atom
- Final energy: -37.424 eV/cell

a = 5.412 Å, b = 5.412 Å, c = 5.412 Å
α = 90.00°, β = 90.00°, γ = 90.00°
Space group Pm-3m (No. 221)
Inequivalent atoms, fractional coordinates:
Y  0.000  0.000  0.500 (multiplicity 3)
Cr  0.500  0.500  0.500 (multiplicity 1)
W  0.000  0.000  0.000 (multiplicity 1)

***

[4]
Here is a geometry-optimized CaLa2InN structure from the Alexandria database. Energies are from PBE.

- Uncorrected formation energy: -0.846 eV/atom
- ρ: 5.7 g/cm³
- Final energy: -27.152 eV/cell

a = 5.129 Å, b = 5.129 Å, c = 4.989 Å
α = 90.00°, β = 90.00°, γ = 90.00°
Space group P4/mmm (No. 123)
Inequivalent atoms, fractional coordinates:
Ca  0.000  0.000  0.000 (multiplicity 1)
La  0.000  0.500  0.500 (multiplicity 2)
In  0.500  0.500  0.000 (multiplicity 1)
N  0.000  0.000  0.500 (multiplicity 1)

***

[5]
Here is a geometry-optimized TbNd3Sn4 structure from the Alexandria database. Energies are from PBE.

- ρ: 7.1 g/cm³
- Formation enthalpy at 0 K: -0.57 eV per atom
- Final energy: -79.002 eV/cell

a = 3.854 Å, b = 7.204 Å, c = 17.938 Å
α = 90.00°, β = 90.00°, γ = 90.00°
Space group Immm (No. 71)
Inequivalent atoms, fractional coordinates:
Tb  0.000  0.000  0.000 (multiplicity 2)
Nd  0.000  0.000  0.500 (multiplicity 2)
Nd  0.000  0.500  0.290 (multiplicity 4)
Sn  0.000  0.293  0.128 (multiplicity 8)

***

[6]
Here is a geometry-optimized RbIn4S7 structure from the Alexandria database. Energies are from PBE.

- Uncorrected formation energy: -0.575 eV/atom
- ρ: 3.7 g/cm³
- Final energy: -95.426 eV/cell

a = 16.100 Å, b = 6.745 Å, c = 6.399 Å
α = 90.00°, β = 90.00°, γ = 90.00°
Space group Pmn2_1 (No. 31)
Inequivalent atoms, fractional coordinates:
Rb  0.000  0.200  0.000 (multiplicity 2)
In  0.120  0.669  0.585 (multiplicity 4)
In  0.249  0.186  0.568 (multiplicity 4)
S  0.000  0.856  0.434 (multiplicity 2)
S  0.112  0.695  0.972 (multiplicity 4)
S  0.113  0.319  0.472 (multiplicity 4)
S  0.245  0.179  0.968 (multiplicity 4)

***

[7]
Here is a geometry-optimized Be3GaPd4 structure from the Alexandria database. Energies are from PBE.

- ρ: 8.8 g/cm³
- Formation enthalpy at 0 K: -0.54 eV per atom
- Final energy: -117.923 eV/cell

a = 4.0926 Å, b = 4.0926 Å, c = 20.4566 Å
α = 90.00°, β = 90.00°, γ = 120.00°
Space group R-3m (No. 166, hexagonal axes)
Inequivalent atoms, fractional coordinates:
Be  0.0000  0.0000  0.0000 (multiplicity 3)
Be  0.0000  0.0000  0.2538 (multiplicity 6)
Ga  0.0000  0.0000  0.5000 (multiplicity 3)
Pd  0.0000  0.0000  0.1178 (multiplicity 6)
Pd  0.0000  0.0000  0.3718 (multiplicity 6)

***

[8]
Here is a geometry-optimized MnAsCl2 structure from the Alexandria database. Energies are from PBE.

- Excess energy over the best structure of this formula in the dataset: 0.038 eV per atom
- Uncorrected formation energy: -0.382 eV/atom
- ρ: 3.8 g/cm³
- Final energy: -19.039 eV/cell

a = 4.945 Å, b = 3.466 Å, c = 5.285 Å
α = 90.00°, β = 105.42°, γ = 90.00°
Space group Pm (No. 6)
Inequivalent atoms, fractional coordinates:
Mn  0.000  0.000  0.000 (multiplicity 1)
As  0.202  0.500  0.332 (multiplicity 1)
Cl  0.525  0.000  0.011 (multiplicity 1)
Cl  0.900  0.500  0.645 (multiplicity 1)

***

[9]
Here is a geometry-optimized Cs4Tl3As2 structure from the Alexandria database. Energies are from PBE.

- ρ: 5.3 g/cm³
- Formation enthalpy at 0 K: -0.20 eV per atom
- Final energy: -43.293 eV/cell

a = 20.855 Å, b = 4.705 Å, c = 8.571 Å
α = 90.00°, β = 104.41°, γ = 90.00°
Space group C2/m (No. 12)
Inequivalent atoms, fractional coordinates:
Cs  0.065  0.000  0.357 (multiplicity 4)
Cs  0.232  0.500  0.204 (multiplicity 4)
Tl  0.000  0.500  0.000 (multiplicity 2)
Tl  0.102  0.500  0.748 (multiplicity 4)
As  0.116  0.000  0.958 (multiplicity 4)

***

[10]
Here is a geometry-optimized ErV2Pd9 structure from the Alexandria database. Energies are from PBE.

- ρ: 10.9 g/cm³
- Formation enthalpy at 0 K: -0.45 eV per atom
- Final energy: -74.939 eV/cell

a = 3.966 Å, b = 3.966 Å, c = 11.902 Å
α = 90.00°, β = 90.00°, γ = 90.00°
Space group P4/mmm (No. 123)
Inequivalent atoms, fractional coordinates:
Er  0.000  0.000  0.000 (multiplicity 1)
V  0.000  0.000  0.336 (multiplicity 2)
Pd  0.000  0.500  0.181 (multiplicity 4)
Pd  0.000  0.500  0.500 (multiplicity 2)
Pd  0.500  0.500  0.000 (multiplicity 1)
Pd  0.500  0.500  0.340 (multiplicity 2)

***

[11]
Here is a geometry-optimized GeRuPt3 structure from the Alexandria database. Energies are from PBE.

- Excess energy over the best structure of this formula in the dataset: 0.285 eV per atom
- ρ: 11.4 g/cm³
- Formation enthalpy at 0 K: 1.22 eV per atom
- Final energy: -25.891 eV/cell

a = 4.800 Å, b = 4.800 Å, c = 4.800 Å
α = 90.00°, β = 90.00°, γ = 90.00°
Space group Pm-3m (No. 221)
Inequivalent atoms, fractional coordinates:
Ge  0.000  0.000  0.000 (multiplicity 1)
Ru  0.500  0.500  0.500 (multiplicity 1)
Pt  0.000  0.500  0.500 (multiplicity 3)

***

[12]
Here is a geometry-optimized BaCuIr2 structure from the Alexandria database. Energies are from PBE.

- Excess energy over the best structure of this formula in the dataset: 0.566 eV per atom
- ρ: 11.6 g/cm³
- Formation enthalpy at 0 K: 0.43 eV per atom
- Final energy: -44.076 eV/cell

a = 8.990 Å, b = 3.017 Å, c = 6.254 Å
α = 90.00°, β = 99.80°, γ = 90.00°
Space group C2/m (No. 12)
Inequivalent atoms, fractional coordinates:
Ba  0.000  0.000  0.000 (multiplicity 2)
Cu  0.000  0.500  0.500 (multiplicity 2)
Ir  0.224  0.000  0.654 (multiplicity 4)